No. 1
The following is a GGA-PBE calculation of K3BaCd8 after structural relaxation, from Alexandria via LeMat-Bulk.

a b c (Å): 11.2215 11.2215 11.2215
angles (deg): 32.80 32.80 32.80
Atoms (fractional coordinates):
K: 0.0000 0.0000 0.0000
K: 0.1235 0.1235 0.1235
K: 0.6285 0.6285 0.6285
Ba: 0.5020 0.5020 0.5020
Cd: 0.0644 0.0644 0.5611
Cd: 0.0644 0.5611 0.0644
Cd: 0.0643 0.5642 0.5642
Cd: 0.3134 0.3134 0.3134
Cd: 0.5611 0.0644 0.0644
Cd: 0.5642 0.0643 0.5642
Cd: 0.5642 0.5642 0.0643
Cd: 0.8134 0.8134 0.8134

Values from the calculation:
ΔE_f, eV per atom: -0.15
Crystal system: trigonal
SG: R3m, No. 160

=====

No. 2
The following is a GGA-PBE calculation of La2SO after structural relaxation, from Alexandria via LeMat-Bulk.

a b c (Å): 7.3617 7.3617 7.3617
angles (deg): 130.81 130.81 72.12
Atoms (fractional coordinates):
La: 0.0724 0.6250 0.9474
La: 0.3750 0.3224 0.4474
La: 0.6776 0.1250 0.0526
La: 0.8750 0.9276 0.5526
S: 0.2500 0.7500 0.5000
S: 0.5000 0.5000 0.0000
O: 0.0000 0.0000 0.0000
O: 0.7500 0.2500 0.5000

Values from the calculation:
E above lowest polymorph, eV/f.u.: 0.88
Crystal system: tetragonal
SG: I-42d, No. 122

=====

no.,spin magnetization (Bohr magnetons per cell)
1,0.0
2,3.9